# 1
Density functional theory data (PBE-GGA) for a relaxed Rb3NaPa3Te8 crystal.

The space group is No. 166. Its total DFT energy (no corrections) is -72.04 eV per cell. For the magnetization, the calculation gives 3.01 μB per cell. The calculation puts the density of states at the Fermi level at 15.58 states/eV/f.u. The value obtained for the formation energy without anion corrections is -0.95 eV/atom.

a b c (Å): 9.038 9.037 10.099
angles (deg): 116.60 90.00 120.00
Fractional coordinates of all 15 atoms:
Pa 0.500 0.000 0.500
Na 0.000 0.000 0.500
Te 0.243 0.487 0.700
Te 0.266 0.531 0.297
Te 0.756 0.043 0.300
Pa 0.500 0.500 0.500
Te 0.757 0.513 0.300
Te 0.287 0.043 0.300
Pa 0.000 0.500 0.500
Rb 0.000 0.500 0.000
Te 0.713 0.957 0.700
Te 0.244 0.957 0.700
Rb 0.000 0.000 0.000
Te 0.734 0.469 0.703
Rb 0.500 0.500 0.000

# 2
Density functional theory data (PBE-GGA) for a relaxed YGe3S crystal.

The space group is No. 221. Its total DFT energy (no corrections) is -23.75 eV per cell. For the magnetization, the calculation gives 0.00 μB per cell. The calculation puts the density of states at the Fermi level at 3.99 states/eV/f.u. The value obtained for the formation energy without anion corrections is 0.14 eV/atom. Its energy above the most stable polymorph in this dataset is 0 meV/atom.

a b c (Å): 4.882 4.882 4.882
angles (deg): 90.00 90.00 90.00
Fractional coordinates of all 5 atoms:
Y 0.500 0.500 0.500
S 0.000 0.000 0.000
Ge 0.000 0.500 0.000
Ge 0.000 0.000 0.500
Ge 0.500 0.000 0.000